VASP calculation (PBE) on an optimized crystal structure of RbRuRh3.

Cell: 4.811 4.811 4.811 Å, 90.00 90.00 90.00°
Atoms (fractional coordinates):
Rb1 0.000 0.000 0.000
Ru1 0.500 0.500 0.500
Rh1 0.000 0.500 0.500
Rh2 0.500 0.000 0.500
Rh3 0.500 0.500 0.000

Calculated formation energy ... 1056 meV/atom
SG ... Pm-3m, No. 221
Excess energy over the best structure of this formula in the dataset ... 0.000 eV/atom

---

VASP calculation (PBE) on an optimized crystal structure of BrF.

Cell: 7.277 7.277 7.277 Å, 90.00 90.00 90.00°
Atoms (fractional coordinates):
Br1 0.000 0.250 0.500
Br2 0.000 0.750 0.500
Br3 0.250 0.500 0.000
Br4 0.500 0.000 0.250
Br5 0.500 0.000 0.750
Br6 0.750 0.500 0.000
F1 0.000 0.500 0.250
F2 0.000 0.500 0.750
F3 0.250 0.000 0.500
F4 0.500 0.250 0.000
F5 0.500 0.750 0.000
F6 0.750 0.000 0.500

SG ... Pm-3n, No. 223
Formation energy (no corrections) ... 0.26 eV/atom

---

VASP calculation (PBE) on an optimized crystal structure of Pr3InCo.

Cell: 8.717 3.796 9.020 Å, 90.00 100.95 90.00°
Atoms (fractional coordinates):
Pr1 0.071 0.250 0.236
Pr2 0.295 0.250 0.932
Pr3 0.304 0.750 0.581
Pr4 0.696 0.250 0.419
Pr5 0.705 0.750 0.068
Pr6 0.929 0.750 0.764
In1 0.401 0.750 0.240
In2 0.599 0.250 0.760
Co1 0.044 0.250 0.566
Co2 0.956 0.750 0.434

Calculated formation energy ... -181 meV/atom
SG ... P2_1/m, No. 11
Excess energy over the best structure of this formula in the dataset ... 0.012 eV/atom

---

no.,total energy (eV per atom),M_tot (Bohr magnetons per cell)
1,-5.403,0.00
2,-1.507,12.02
3,-5.017,0.72